[1]
The following is a DFT calculation (PBEsol) of a geometry-optimized CrInRe structure.

abc: 2.8662 2.8662 6.5495
angles: 90.00 90.00 120.00
Space group P3m1 (No. 156)
Inequivalent atoms, fractional coordinates:
1 Cr 0.0000 0.0000 0.0000 (multiplicity 1)
2 In 0.3333 0.6667 0.6502 (multiplicity 1)
3 Re 0.6667 0.3333 0.2748 (multiplicity 1)

Computed properties:
As for the crystal system: trigonal. The calculation puts the total energy at -8.43 eV/atom. The calculation puts the total magnetization at 0.00 μB/f.u. Its density of states at the Fermi level is 0.997 states/eV/atom. The calculated formation energy comes out at 426.4 meV/atom. Its density is 12580 kg/m³.

[2]
The following is a DFT calculation (PBEsol) of a geometry-optimized CrIn2Rh2 structure.

abc: 4.055 4.055 11.592
angles: 90.00 90.00 90.00
Space group I4/mmm (No. 139)
Inequivalent atoms, fractional coordinates:
1 Cr 0.000 0.000 0.000 (multiplicity 2)
2 In 0.000 0.500 0.250 (multiplicity 4)
3 Rh 0.000 0.000 0.397 (multiplicity 4)

Computed properties:
As for the crystal system: tetragonal. The calculation puts the total energy at -6.07 eV/atom. The calculation puts the total magnetization at 4.25 μB/f.u. Its density of states at the Fermi level is 0.781 states/eV/atom. The calculated formation energy comes out at 425.0 meV/atom. Its density is 8494 kg/m³.

Which of these has the lowest calculated formation energy? CrIn2Rh2

Repeat the first record exactly.
The following is a DFT calculation (PBEsol) of a geometry-optimized CrInRe structure.

abc: 2.8662 2.8662 6.5495
angles: 90.00 90.00 120.00
Space group P3m1 (No. 156)
Inequivalent atoms, fractional coordinates:
1 Cr 0.0000 0.0000 0.0000 (multiplicity 1)
2 In 0.3333 0.6667 0.6502 (multiplicity 1)
3 Re 0.6667 0.3333 0.2748 (multiplicity 1)

Computed properties:
As for the crystal system: trigonal. The calculation puts the total energy at -8.43 eV/atom. The calculation puts the total magnetization at 0.00 μB/f.u. Its density of states at the Fermi level is 0.997 states/eV/atom. The calculated formation energy comes out at 426.4 meV/atom. Its density is 12580 kg/m³.

Look up the density of the first one. 12580 kg/m³

Number 1 is which compound? CrInRe